No. 1
DFT (PBE) results for ScPaAu after structural relaxation.

a = 4.751 Å, b = 4.751 Å, c = 6.599 Å
α = 90.00°, β = 90.00°, γ = 120.00°
Sites, in units of the cell vectors:
Sc (0.000, 0.000, 0.219)
Sc (0.000, 0.000, 0.781)
Pa (0.333, 0.667, 0.428)
Pa (0.667, 0.333, 0.572)
Au (0.333, 0.667, 0.919)
Au (0.667, 0.333, 0.081)

Summary:
energy relative to the elements: -0.3 eV per formula unit
SG: No. 164
polymorph energy (0 for the lowest one): 0.53 eV/f.u.


No. 2
DFT (PBE) results for Cs3As2Pd4 after structural relaxation.

a = 7.069 Å, b = 7.069 Å, c = 9.519 Å
α = 111.46°, β = 111.46°, γ = 36.00°
Sites, in units of the cell vectors:
Cs (0.000, 0.000, 0.000)
Cs (0.373, 0.373, 0.621)
Cs (0.627, 0.627, 0.379)
As (0.328, 0.328, 0.214)
As (0.672, 0.672, 0.786)
Pd (0.088, 0.088, 0.647)
Pd (0.258, 0.258, 0.921)
Pd (0.742, 0.742, 0.079)
Pd (0.912, 0.912, 0.353)

Summary:
energy relative to the elements: -2.4 eV per formula unit
SG: No. 12


No. 3
DFT (PBE) results for ScMn4Al after structural relaxation.

a = 4.797 Å, b = 4.797 Å, c = 4.797 Å
α = 60.00°, β = 60.00°, γ = 60.00°
Sites, in units of the cell vectors:
Sc (0.000, 0.000, 0.000)
Mn (0.376, 0.376, 0.376)
Mn (0.376, 0.376, 0.872)
Mn (0.376, 0.872, 0.376)
Mn (0.872, 0.376, 0.376)
Al (0.750, 0.750, 0.750)

Summary:
energy relative to the elements: -0.8 eV per formula unit
SG: No. 216


No. 4
DFT (PBE) results for LiEr3Sc3Se8 after structural relaxation.

a = 7.873 Å, b = 7.873 Å, c = 7.873 Å
α = 59.86°, β = 59.86°, γ = 59.86°
Sites, in units of the cell vectors:
Li (0.000, 0.000, 0.000)
Er (0.000, 0.000, 0.500)
Er (0.000, 0.500, 0.000)
Er (0.500, 0.000, 0.000)
Sc (0.000, 0.500, 0.500)
Sc (0.500, 0.000, 0.500)
Sc (0.500, 0.500, 0.000)
Se (0.249, 0.249, 0.743)
Se (0.249, 0.743, 0.249)
Se (0.254, 0.254, 0.254)
Se (0.257, 0.751, 0.751)
Se (0.743, 0.249, 0.249)
Se (0.746, 0.746, 0.746)
Se (0.751, 0.257, 0.751)
Se (0.751, 0.751, 0.257)

Summary:
raw formation energy: -1.695 eV/atom
SG: No. 166


No. 5
DFT (PBE) results for La3Mg2Cd3 after structural relaxation.

a = 6.300 Å, b = 6.300 Å, c = 16.071 Å
α = 90.00°, β = 90.00°, γ = 132.91°
Sites, in units of the cell vectors:
La (0.097, 0.903, 0.610)
La (0.097, 0.903, 0.890)
La (0.387, 0.613, 0.750)
La (0.613, 0.387, 0.250)
La (0.903, 0.097, 0.110)
La (0.903, 0.097, 0.390)
Mg (0.204, 0.796, 0.092)
Mg (0.204, 0.796, 0.408)
Mg (0.796, 0.204, 0.592)
Mg (0.796, 0.204, 0.908)
Cd (0.327, 0.673, 0.250)
Cd (0.392, 0.608, 0.542)
Cd (0.392, 0.608, 0.958)
Cd (0.608, 0.392, 0.042)
Cd (0.608, 0.392, 0.458)
Cd (0.673, 0.327, 0.750)

Summary:
energy relative to the elements: -1.8 eV per formula unit
SG: No. 63


No. 6
DFT (PBE) results for ZnInCl2 after structural relaxation.

a = 3.389 Å, b = 3.389 Å, c = 8.520 Å
α = 90.00°, β = 90.00°, γ = 90.00°
Sites, in units of the cell vectors:
Zn (0.000, 0.000, 0.000)
In (0.500, 0.500, 0.740)
Cl (0.000, 0.000, 0.543)
Cl (0.500, 0.500, 0.143)

Summary:
raw formation energy: -0.473 eV/atom
SG: No. 99
polymorph energy (0 for the lowest one): 0.84 eV/f.u.


No. 7
DFT (PBE) results for Ta2Cd2Cl after structural relaxation.

a = 6.383 Å, b = 6.383 Å, c = 4.916 Å
α = 90.00°, β = 90.00°, γ = 90.00°
Sites, in units of the cell vectors:
Ta (0.148, 0.352, 0.000)
Ta (0.352, 0.852, 0.000)
Ta (0.648, 0.148, 0.000)
Ta (0.852, 0.648, 0.000)
Cd (0.159, 0.659, 0.500)
Cd (0.341, 0.159, 0.500)
Cd (0.659, 0.841, 0.500)
Cd (0.841, 0.341, 0.500)
Cl (0.000, 0.000, 0.000)
Cl (0.500, 0.500, 0.000)

Summary:
raw formation energy: 0.356 eV/atom
SG: No. 127
polymorph energy (0 for the lowest one): 0.00 eV/f.u.


No. 8
DFT (PBE) results for Ba4NaAuO8 after structural relaxation.

a = 8.471 Å, b = 8.471 Å, c = 8.471 Å
α = 139.72°, β = 139.72°, γ = 58.28°
Sites, in units of the cell vectors:
Ba (0.126, 0.626, 0.500)
Ba (0.374, 0.874, 0.500)
Ba (0.626, 0.126, 0.500)
Ba (0.874, 0.374, 0.500)
Na (0.000, 0.000, 0.000)
Au (0.500, 0.500, 0.000)
O (0.177, 0.177, 0.000)
O (0.259, 0.259, 0.517)
O (0.259, 0.741, 0.000)
O (0.282, 0.282, 0.000)
O (0.718, 0.718, 0.000)
O (0.741, 0.259, 0.000)
O (0.741, 0.741, 0.483)
O (0.823, 0.823, 0.000)

Summary:
raw formation energy: -1.626 eV/atom
SG: No. 139


Record-wise spin magnetization values, in μB per cell: 0.00, 0.00, 0.00, 0.00, 0.00, 0.00, 0.00, 0.00